Li2AcPbO4 | PBE-GGA | relaxed

Summary:
Spin magnetization = 0.00 μB per formula unit
E = -5.91 eV per atom
SG = I-42m (121)
Crystal system = tetragonal

a b c (Å): 5.3700 5.3700 5.3700
angles (deg): 96.72 116.20 116.20
Last column: nearest neighbours and their distance in Å.
Sites, in units of the cell vectors:
Li1 0.5000 0.7500 0.2500  4 O 2.08
Li2 0.5000 0.2500 0.7500  4 O 2.08
Ac1 0.0000 0.0000 0.0000  4 O 2.49
Pb1 0.0000 0.5000 0.5000  4 O 2.27
O1 0.0000 0.0882 0.5556  2 Li 2.08, 1 Pb 2.27
O2 0.5326 0.4444 0.4444  2 Li 2.08, 1 Pb 2.27
O3 0.4674 0.9118 0.9118  2 Li 2.08, 1 Pb 2.27
O4 0.0000 0.5556 0.0882  2 Li 2.08, 1 Pb 2.27